Compound: RbSrTeO4
Source: Alexandria via LeMat-Bulk
Functional: PBE
Structure: optimized geometry

Values from the calculation:
- Energy relative to the elements, uncorrected: -1.499 eV/atom

Unit cell a=9.808 b=9.808 c=9.808 alpha=90.00 beta=90.00 gamma=90.00
Space group F-43m (No. 216)
Unique sites:
Rb 0.000 0.000 0.000 [4 per cell]
Sr 0.250 0.250 0.750 [4 per cell]
Te 0.000 0.000 0.500 [4 per cell]
O 0.113 0.113 0.613 [16 per cell]


Compound: TcNiAu2
Source: Alexandria via LeMat-Bulk
Functional: PBE
Structure: optimized geometry

Values from the calculation:
- Excess energy over the best structure of this formula in the dataset: 155 meV per atom
- Formation energy: 281 meV per atom

Unit cell a=9.199 b=2.738 c=4.979 alpha=90.00 beta=99.66 gamma=90.00
Space group Cm (No. 8)
Unique sites:
Tc 0.000 0.000 0.000 [2 per cell]
Ni 0.269 0.000 0.789 [2 per cell]
Au 0.019 0.500 0.528 [2 per cell]
Au 0.256 0.500 0.255 [2 per cell]


Compound: BSe2ClF
Source: Alexandria via LeMat-Bulk
Functional: PBE
Structure: optimized geometry

Values from the calculation:
- Energy relative to the elements, uncorrected: 1.375 eV/atom

Unit cell a=4.834 b=4.834 c=4.861 alpha=90.00 beta=90.00 gamma=90.00
Space group P4/mmm (No. 123)
Unique sites:
B 0.000 0.000 0.000 [1 per cell]
Se 0.000 0.500 0.500 [2 per cell]
Cl 0.000 0.000 0.500 [1 per cell]
F 0.500 0.500 0.000 [1 per cell]


Compound: CeSm2Hg6
Source: Alexandria via LeMat-Bulk
Functional: PBE
Structure: optimized geometry

Values from the calculation:
- Formation energy: -398 meV per atom

Unit cell a=8.7470 b=8.7470 c=3.4333 alpha=90.00 beta=90.00 gamma=120.00
Space group P6/mmm (No. 191)
Unique sites:
Ce 0.0000 0.0000 0.0000 [1 per cell]
Sm 0.3333 0.6667 0.0000 [2 per cell]
Hg 0.0000 0.3343 0.5000 [6 per cell]


Compound: Pm3SnAs2Rh9
Source: Alexandria via LeMat-Bulk
Functional: PBE
Structure: optimized geometry

Values from the calculation:
- Formation energy: -439 meV per atom

Unit cell a=6.2819 b=6.2819 c=9.3735 alpha=90.00 beta=90.00 gamma=120.00
Space group P-3m1 (No. 164)
Unique sites:
Pm 0.0000 0.0000 0.0000 [1 per cell]
Pm 0.3333 0.6667 0.7315 [2 per cell]
Sn 0.0000 0.0000 0.5000 [1 per cell]
As 0.3333 0.6667 0.1681 [2 per cell]
Rh 0.0000 0.5000 0.0000 [3 per cell]
Rh 0.1420 0.2841 0.2691 [6 per cell]


Compound: AgSnAs2C
Source: Alexandria via LeMat-Bulk
Functional: PBE
Structure: optimized geometry

Values from the calculation:
- Formation energy: 965 meV per atom

Unit cell a=4.511 b=4.511 c=4.580 alpha=90.00 beta=90.00 gamma=90.00
Space group P4/mmm (No. 123)
Unique sites:
Ag 0.000 0.000 0.000 [1 per cell]
Sn 0.500 0.500 0.000 [1 per cell]
As 0.000 0.500 0.500 [2 per cell]
C 0.500 0.500 0.500 [1 per cell]


Compound: Tm2ZnC
Source: Alexandria via LeMat-Bulk
Functional: PBE
Structure: optimized geometry

Values from the calculation:
- Formation energy: -292 meV per atom

Unit cell a=3.5539 b=3.5539 c=22.0214 alpha=90.00 beta=90.00 gamma=120.00
Space group R-3m (No. 166, hexagonal axes)
Unique sites:
Tm 0.0000 0.0000 0.2267 [6 per cell]
Zn 0.0000 0.0000 0.0000 [3 per cell]
C 0.0000 0.0000 0.5000 [3 per cell]


Compound: DyMnSi3Ni
Source: Alexandria via LeMat-Bulk
Functional: PBE
Structure: optimized geometry

Values from the calculation:
- Energy relative to the elements, uncorrected: -0.311 eV/atom

Unit cell a=5.965 b=12.645 c=5.506 alpha=90.00 beta=90.00 gamma=90.00
Space group Cmcm (No. 63)
Unique sites:
Dy 0.000 0.213 0.250 [4 per cell]
Mn 0.000 0.457 0.750 [4 per cell]
Si 0.000 0.285 0.750 [4 per cell]
Si 0.202 0.000 0.000 [8 per cell]
Ni 0.000 0.115 0.750 [4 per cell]


Number 1: N(E_F) 0.401 states/eV/atom. Number 2: N(E_F) 1.089 states/eV/atom. Number 3: N(E_F) 1.131 states/eV/atom. Number 4: N(E_F) 1.175 states/eV/atom. Number 5: N(E_F) 0.326 states/eV/atom. Number 6: N(E_F) 0.363 states/eV/atom. Number 7: N(E_F) 0.619 states/eV/atom. Number 8: N(E_F) 0.505 states/eV/atom.